1.
GGA-PBE VCo2ReP, optimized geometry; energy = -6.922 eV/atom; symmetry = P4/mmm
1.0
4.442 0.000 0.000
0.000 4.442 0.000
0.000 0.000 4.438
V Co Re P
1 2 1 1
Direct
0.000 0.000 0.000
0.000 0.500 0.500
0.500 0.000 0.500
0.500 0.500 0.500
0.500 0.500 0.000

2.
GGA-PBE Ba8NaP4, optimized geometry; energy = -3.697 eV/atom; symmetry = Cm
1.0
11.467 -2.356 0.000
11.467 2.356 0.000
-10.660 0.000 11.577
Ba Na P
8 1 4
Direct
0.000 0.000 0.000
0.023 0.023 0.747
0.065 0.065 0.465
0.319 0.319 0.676
0.403 0.403 0.132
0.658 0.658 0.342
0.700 0.700 0.060
0.723 0.723 0.807
0.361 0.361 0.403
0.028 0.028 0.230
0.212 0.212 0.934
0.511 0.511 0.874
0.695 0.695 0.577

3.
GGA-PBE Co2P3, optimized geometry; energy = -6.199 eV/atom; distance to the lowest polymorph of the same formula = 252 meV/atom; symmetry = P-3m1
1.0
3.647 0.000 0.000
-1.823 3.158 0.000
0.000 0.000 5.571
Co P
2 3
Direct
0.333 0.667 0.276
0.667 0.333 0.724
0.000 0.000 0.500
0.333 0.667 0.870
0.667 0.333 0.130

4.
GGA-PBE BeSiP2, optimized geometry; energy = -4.514 eV/atom; distance to the lowest polymorph of the same formula = 857 meV/atom; E_form (uncorrected) = 478 meV per atom; symmetry = Cmmm
1.0
3.212 0.000 0.000
0.000 4.106 0.000
0.000 0.000 8.047
Be Si P
2 2 4
Direct
0.000 0.000 0.000
0.500 0.500 0.000
0.000 0.000 0.500
0.500 0.500 0.500
0.000 0.500 0.208
0.000 0.500 0.792
0.500 0.000 0.208
0.500 0.000 0.792

5.
GGA-PBE V2GaN, optimized geometry; energy = -8.153 eV/atom; E_form (uncorrected) = -756 meV per atom; symmetry = P6_3/mmc
1.0
2.914 0.000 0.000
-1.457 2.524 0.000
0.000 0.000 12.821
V Ga N
4 2 2
Direct
0.333 0.667 0.085
0.333 0.667 0.415
0.667 0.333 0.585
0.667 0.333 0.915
0.333 0.667 0.750
0.667 0.333 0.250
0.000 0.000 0.000
0.000 0.000 0.500

6.
GGA-PBE Li3Mg2Ge2, optimized geometry; energy = -2.889 eV/atom; symmetry = C2/m
1.0
7.913 0.000 0.000
0.000 4.563 0.000
-2.599 0.000 7.278
Li Mg Ge
6 4 4
Direct
0.000 0.000 0.000
0.130 0.000 0.392
0.370 0.500 0.608
0.500 0.500 0.000
0.630 0.500 0.392
0.870 0.000 0.608
0.114 0.500 0.841
0.386 0.000 0.159
0.614 0.000 0.841
0.886 0.500 0.159
0.246 0.500 0.239
0.254 0.000 0.761
0.746 0.000 0.239
0.754 0.500 0.761

7.
GGA-PBE Tb5Pm12Pr, optimized geometry; energy = -4.635 eV/atom; symmetry = C2/m
1.0
6.078 -8.553 0.000
6.078 8.553 0.000
-0.002 0.000 5.844
Tb Pm Pr
5 12 1
Direct
0.000 0.000 0.000
0.137 0.863 0.500
0.362 0.638 0.000
0.638 0.362 0.000
0.863 0.137 0.500
0.028 0.670 0.005
0.170 0.528 0.494
0.197 0.197 0.543
0.298 0.298 0.044
0.330 0.972 0.995
0.472 0.830 0.506
0.528 0.170 0.494
0.670 0.028 0.005
0.702 0.702 0.956
0.803 0.803 0.457
0.830 0.472 0.506
0.972 0.330 0.995
0.500 0.500 0.500

8.
GGA-PBE TaTl2Mo, optimized geometry; energy = -6.030 eV/atom; distance to the lowest polymorph of the same formula = 406 meV/atom; symmetry = P4/mmm
1.0
4.228 0.000 0.000
0.000 4.228 0.000
0.000 0.000 4.476
Ta Tl Mo
1 2 1
Direct
0.000 0.000 0.000
0.000 0.500 0.500
0.500 0.000 0.500
0.500 0.500 0.000

- What is the energy in the third record?
  -6.199 eV/atom

- Number 1 is which compound?
  VCo2ReP